20
Lattice="-2.7762 1.7586 -1.2619 -0.3772 -6.3854 -8.0691 -6.3199 -6.2284 5.2242" Properties=species:S:1:pos:R:3 comment="RbTb2Br2F5, relaxed, DFT PBE" space_group="P4/mbm (127)" pbc="T T T"
Rb 0.0000 0.0000 0.0000
Rb -3.3486 -6.3069 -1.4225
Tb -4.0037 -4.7034 2.2537
Tb -2.6934 -7.9103 -5.0986
Tb -5.7598 -9.4408 -0.4852
Tb -0.9373 -3.1729 -2.3597
Br -1.3201 -5.3238 -4.5152
Br -5.3770 -7.2899 1.6703
Br -2.1559 -3.1407 0.3662
Br -4.5412 -9.4730 -3.2111
F -1.9724 -1.1471 -2.1697
F -7.5010 -9.7079 -1.9371
F -6.2129 -4.3449 2.7032
F -4.3344 -6.4818 -4.4077
F -3.2605 -6.5102 -6.8100
F -5.1389 -4.3733 0.3009
F -6.2907 -7.4284 -1.4229
F -3.1827 -3.4267 -2.6839
F -1.5767 -2.3134 -4.6655
F -4.5481 -2.2349 1.9811

10
Lattice="-2.3441 -3.7073 -5.9946 6.8209 0.3989 -2.9139 3.5924 -6.5512 -1.9552" Properties=species:S:1:pos:R:3 comment="Rb2TcBr6F, relaxed, DFT PBE" space_group="I4/mmm (139)" pbc="T T T"
Br 2.9863 -4.3590 -3.0739
Br 5.0829 -5.5006 -7.7897
Br 1.0798 -0.7980 -2.1487
Br 3.3970 -2.5104 -6.7597
Br -0.1335 -2.7169 -5.2515
Br 4.6103 -0.5915 -3.6569
Tc 0.0000 0.0000 0.0000
Rb 1.7434 -5.9564 -6.2020
Rb 6.3258 -3.9032 -4.6616
F 2.2384 -1.6542 -4.4542

9
Lattice="7.2507 1.0300 0.7008 2.7963 6.7490 0.0286 2.7963 2.5047 6.2671" Properties=species:S:1:pos:R:3 comment="Rb2TcBr4F2, relaxed, DFT PBE" space_group="C2/m (12)" pbc="T T T"
Rb 5.6262 7.1309 4.8514
Rb 7.2172 3.1529 2.1451
Tc 3.6254 0.5150 0.3504
Br 4.7537 5.7063 1.4970
Br 8.0896 6.7961 2.2384
Br 8.0896 4.5775 5.4995
Br 4.7537 3.4876 4.7581
F 2.8298 2.0046 1.3638
F 10.0135 8.2791 5.6327

5
Lattice="6.1052 0.0000 0.0000 0.0000 4.0482 0.0000 0.0000 0.0000 6.1052" Properties=species:S:1:pos:R:3 comment="RbTcBr2F, relaxed, DFT PBE" space_group="P4/mmm (123)" pbc="T T T"
Br 0.0000 0.0000 3.0526
Br 3.0526 0.0000 0.0000
Tc 0.0000 2.0241 0.0000
Rb 3.0526 2.0241 3.0526
F 0.0000 0.0000 0.0000

Number 1: formation energy without anion corrections -3.144 eV per atom, energy -5.44 eV/atom, total magnetic moment 0.000 μB per atom. Number 2: formation energy without anion corrections -0.945 eV per atom, energy -3.37 eV/atom, total magnetic moment 0.275 μB per atom. Number 3: formation energy without anion corrections -1.540 eV per atom, energy -4.07 eV/atom, total magnetic moment 0.333 μB per atom. Number 4: formation energy without anion corrections -0.641 eV per atom, energy -3.95 eV/atom, total magnetic moment 1.000 μB per atom.